No. 1
{"formula": "Ho2Cu3Si2", "functional": "GGA-PBE", "state": "relaxed", "cell": [[-2.229, 3.048, -1.376], [-2.396, -2.511, 4.188], [4.472, 4.135, 1.917]], "species": ["Cu", "Cu", "Cu", "Ho", "Ho", "Si", "Si"], "fractional_positions": [[0.500, 0.000, 0.000], [0.605, 0.211, 0.425], [0.395, 0.789, 0.575], [0.149, 0.299, 0.760], [0.851, 0.701, 0.240], [0.139, 0.278, 0.230], [0.861, 0.722, 0.770]], "formation_energy_uncorrected_mev_per_atom": -488, "dos_at_fermi_per_ev_atom": 0.496, "dft_energy_ev_per_fu": -35.71, "magnetic_moment_mub_per_fu": 0.0}


No. 2
{"formula": "Mg3Cu3As4O16", "functional": "GGA-PBE", "state": "relaxed", "cell": [[-0.310, -0.990, -5.051], [-2.687, -8.102, 1.754], [-13.000, 7.196, -0.613]], "species": ["As", "As", "As", "As", "As", "As", "As", "As", "Cu", "Cu", "Cu", "Cu", "Cu", "Cu", "O", "O", "O", "O", "O", "O", "O", "O", "O", "O", "O", "O", "O", "O", "O", "O", "O", "O", "O", "O", "O", "O", "O", "O", "O", "O", "O", "O", "O", "O", "O", "O", "Mg", "Mg", "Mg", "Mg", "Mg", "Mg"], "fractional_positions": [[0.999, 0.313, 0.899], [0.499, 0.187, 0.601], [0.015, 0.617, 0.650], [0.501, 0.813, 0.399], [0.515, 0.883, 0.850], [0.485, 0.117, 0.150], [0.001, 0.687, 0.101], [0.985, 0.383, 0.350], [0.500, 0.500, 0.000], [0.000, 0.000, 0.500], [0.500, 0.175, 0.377], [0.000, 0.675, 0.877], [0.500, 0.825, 0.623], [0.000, 0.325, 0.123], [0.934, 0.765, 0.006], [0.566, 0.265, 0.506], [0.291, 0.979, 0.410], [0.314, 0.390, 0.370], [0.309, 0.608, 0.105], [0.599, 0.931, 0.744], [0.814, 0.110, 0.130], [0.585, 0.303, 0.699], [0.901, 0.431, 0.244], [0.184, 0.485, 0.576], [0.085, 0.197, 0.801], [0.434, 0.735, 0.494], [0.316, 0.985, 0.076], [0.186, 0.890, 0.870], [0.888, 0.189, 0.346], [0.401, 0.069, 0.256], [0.066, 0.235, 0.994], [0.791, 0.521, 0.090], [0.709, 0.021, 0.590], [0.099, 0.569, 0.756], [0.612, 0.689, 0.846], [0.816, 0.515, 0.424], [0.415, 0.697, 0.301], [0.809, 0.892, 0.395], [0.684, 0.015, 0.924], [0.686, 0.610, 0.630], [0.191, 0.108, 0.605], [0.112, 0.811, 0.654], [0.915, 0.803, 0.199], [0.388, 0.311, 0.154], [0.209, 0.479, 0.910], [0.691, 0.392, 0.895], [0.500, 0.500, 0.500], [0.000, 0.000, 0.000], [0.547, 0.523, 0.209], [0.047, 0.977, 0.291], [0.953, 0.023, 0.709], [0.453, 0.477, 0.791]], "formation_energy_uncorrected_mev_per_atom": -1433, "dos_at_fermi_per_ev_atom": 0.013, "dft_energy_ev_per_fu": -152.26, "magnetic_moment_mub_per_fu": 3.0}


No. 3
{"formula": "Tb6Tm5", "functional": "GGA-PBE", "state": "relaxed", "cell": [[-3.013, -0.306, 4.554], [-4.845, -3.952, -6.754], [8.159, -3.831, 1.859]], "species": ["Tm", "Tm", "Tm", "Tm", "Tm", "Tb", "Tb", "Tb", "Tb", "Tb", "Tb"], "fractional_positions": [[0.500, 0.798, 0.202], [0.500, 0.202, 0.798], [0.000, 0.339, 0.661], [0.500, 0.500, 0.500], [0.000, 0.661, 0.339], [0.207, 0.068, 0.346], [0.707, 0.207, 0.207], [0.793, 0.654, 0.932], [0.793, 0.932, 0.654], [0.207, 0.346, 0.068], [0.293, 0.793, 0.793]], "formation_energy_ev_per_fu": 1.27, "dos_at_fermi_per_ev_atom": 1.482, "dft_energy_ev_per_fu": -48.87, "de_polymorph_ev_per_atom": 0.000, "magnetic_moment_mub_per_fu": 0.0}


No. 4
{"formula": "AlW2Cl", "functional": "GGA-PBE", "state": "relaxed", "cell": [[3.818, 0.000, 0.000], [0.000, 3.818, 0.000], [1.909, 1.909, 9.623]], "species": ["Al", "Al", "W", "W", "W", "W", "Cl", "Cl"], "fractional_positions": [[0.500, 0.500, 0.000], [0.250, 0.750, 0.500], [0.610, 0.125, 0.250], [0.875, 0.860, 0.750], [0.140, 0.625, 0.250], [0.375, 0.390, 0.750], [0.750, 0.250, 0.500], [0.000, 0.000, 0.000]], "formation_energy_uncorrected_mev_per_atom": 904, "dos_at_fermi_per_ev_atom": 0.771, "dft_energy_ev_per_fu": -27.88, "de_polymorph_ev_per_atom": 0.670, "magnetic_moment_mub_per_fu": 0.0}


No. 5
{"formula": "PuPBr", "functional": "GGA-PBE", "state": "relaxed", "cell": [[-0.175, 2.917, -2.671], [2.003, -4.173, -1.754], [-10.520, -1.450, -0.899]], "species": ["Br", "Br", "P", "P", "Pu", "Pu"], "fractional_positions": [[0.812, 0.625, 0.336], [0.188, 0.375, 0.664], [0.570, 0.141, 0.933], [0.430, 0.859, 0.067], [0.833, 0.665, 0.856], [0.167, 0.335, 0.144]], "formation_energy_uncorrected_mev_per_atom": -1111, "dos_at_fermi_per_ev_atom": 3.105, "dft_energy_ev_per_fu": -24.75, "de_polymorph_ev_per_atom": 0.000, "magnetic_moment_mub_per_fu": 5.0}


No. 6
{"formula": "TaVMo2H", "functional": "GGA-PBE", "state": "relaxed", "cell": [[4.429, 0.000, 0.000], [0.000, 4.429, 0.000], [0.000, 0.000, 3.340]], "species": ["Mo", "Mo", "Ta", "H", "V"], "fractional_positions": [[0.500, 0.000, 0.000], [0.000, 0.500, 0.000], [0.500, 0.500, 0.500], [0.000, 0.000, 0.000], [0.000, 0.000, 0.500]], "dos_at_fermi_per_ev_atom": 0.308, "dft_energy_ev_per_fu": -46.35, "magnetic_moment_mub_per_fu": 0.0}


No. 7
{"formula": "Mn3Tl5", "functional": "GGA-PBE", "state": "relaxed", "cell": [[-4.767, 6.069, 3.220], [0.611, -7.361, 3.920], [4.836, 2.103, 3.196]], "species": ["Tl", "Tl", "Tl", "Tl", "Tl", "Tl", "Tl", "Tl", "Tl", "Tl", "Mn", "Mn", "Mn", "Mn", "Mn", "Mn"], "fractional_positions": [[0.667, 0.333, 0.000], [0.233, 0.000, 0.250], [0.667, 0.333, 0.500], [0.000, 0.233, 0.250], [0.767, 0.767, 0.250], [0.333, 0.667, 0.000], [0.000, 0.767, 0.750], [0.767, 0.000, 0.750], [0.233, 0.233, 0.750], [0.333, 0.667, 0.500], [0.587, 0.000, 0.250], [0.000, 0.413, 0.750], [0.000, 0.587, 0.250], [0.413, 0.000, 0.750], [0.413, 0.413, 0.250], [0.587, 0.587, 0.750]], "formation_energy_ev_per_fu": 3.74, "dos_at_fermi_per_ev_atom": 0.733, "dft_energy_ev_per_fu": -35.60, "magnetic_moment_mub_per_fu": 11.6}


No. 8
{"formula": "Cs5I4Cl", "functional": "GGA-PBE", "state": "relaxed", "cell": [[5.470, 0.000, 0.000], [0.000, 5.470, 0.000], [-2.735, -2.735, 19.244]], "species": ["I", "I", "I", "I", "Cs", "Cs", "Cs", "Cs", "Cs", "Cl"], "fractional_positions": [[0.402, 0.402, 0.803], [0.598, 0.598, 0.197], [0.802, 0.802, 0.604], [0.198, 0.198, 0.396], [0.699, 0.699, 0.398], [0.907, 0.907, 0.814], [0.301, 0.301, 0.602], [0.093, 0.093, 0.186], [0.500, 0.500, 0.000], [0.000, 0.000, 0.000]], "formation_energy_uncorrected_mev_per_atom": -1620, "dos_at_fermi_per_ev_atom": 0.000, "dft_energy_ev_per_fu": -28.51, "de_polymorph_ev_per_atom": 0.004, "magnetic_moment_mub_per_fu": 0.0}


No. 9
{"formula": "Ni2Os", "functional": "GGA-PBE", "state": "relaxed", "cell": [[-2.182, -2.106, -2.051], [1.918, -2.956, 0.994], [-6.477, 1.102, 9.027]], "species": ["Ni", "Ni", "Ni", "Ni", "Ni", "Ni", "Ni", "Ni", "Os", "Os", "Os", "Os"], "fractional_positions": [[0.748, 0.748, 0.495], [0.252, 0.252, 0.505], [0.582, 0.582, 0.164], [0.418, 0.418, 0.836], [0.832, 0.332, 0.664], [0.502, 0.002, 0.005], [0.668, 0.168, 0.336], [0.998, 0.498, 0.995], [0.335, 0.835, 0.670], [0.085, 0.085, 0.170], [0.915, 0.915, 0.830], [0.165, 0.665, 0.330]], "formation_energy_ev_per_fu": 0.45, "dos_at_fermi_per_ev_atom": 1.323, "dft_energy_ev_per_fu": -22.34, "de_polymorph_ev_per_atom": 0.087, "magnetic_moment_mub_per_fu": 0.0}


No. 10
{"formula": "SmMg3Rh", "functional": "GGA-PBE", "state": "relaxed", "cell": [[5.015, 0.000, -2.188], [0.000, 5.902, 0.000], [-0.136, 0.000, 7.700]], "species": ["Mg", "Mg", "Mg", "Mg", "Mg", "Mg", "Rh", "Rh", "Sm", "Sm"], "fractional_positions": [[0.307, 0.198, 0.075], [0.307, 0.697, 0.075], [0.727, 0.698, 0.486], [0.875, 0.448, 0.167], [0.727, 0.197, 0.486], [0.159, 0.948, 0.394], [0.882, 0.448, 0.812], [0.152, 0.948, 0.749], [0.317, 0.448, 0.680], [0.717, 0.948, 0.881]], "formation_energy_ev_per_fu": -1.81, "dos_at_fermi_per_ev_atom": 0.545, "dft_energy_ev_per_fu": -18.66, "de_polymorph_ev_per_atom": 0.000, "magnetic_moment_mub_per_fu": 0.0}


No. 11
{"formula": "NdDy2Sc3Bi6", "functional": "GGA-PBE", "state": "relaxed", "cell": [[-4.564, 2.310, -5.652], [3.615, -6.692, -0.508], [-5.237, -1.777, 5.216]], "species": ["Nd", "Sc", "Sc", "Sc", "Dy", "Dy", "Bi", "Bi", "Bi", "Bi", "Bi", "Bi"], "fractional_positions": [[0.000, 0.000, 0.000], [0.836, 0.164, 0.500], [0.500, 0.500, 0.500], [0.164, 0.836, 0.500], [0.333, 0.667, 0.000], [0.667, 0.333, 0.000], [0.428, 0.090, 0.268], [0.910, 0.572, 0.732], [0.572, 0.910, 0.732], [0.250, 0.250, 0.734], [0.090, 0.428, 0.268], [0.750, 0.750, 0.266]], "formation_energy_ev_per_fu": -9.20, "dos_at_fermi_per_ev_atom": 0.174, "dft_energy_ev_per_fu": -65.45, "magnetic_moment_mub_per_fu": 0.0}


No. 12
{"formula": "PmCdNiHg", "functional": "GGA-PBE", "state": "relaxed", "cell": [[4.953, 0.000, 0.000], [2.477, 4.290, 0.000], [2.477, 1.430, 4.044]], "species": ["Pm", "Hg", "Ni", "Cd"], "fractional_positions": [[0.750, 0.750, 0.750], [0.000, 0.000, 0.000], [0.500, 0.500, 0.500], [0.250, 0.250, 0.250]], "formation_energy_ev_per_fu": -0.77, "dos_at_fermi_per_ev_atom": 0.956, "dft_energy_ev_per_fu": -12.51, "magnetic_moment_mub_per_fu": 0.0}


No. 13
{"formula": "AcEuPbBr", "functional": "GGA-PBE", "state": "relaxed", "cell": [[5.725, 0.000, 0.000], [2.862, 4.958, 0.000], [2.862, 1.653, 4.674]], "species": ["Ac", "Eu", "Pb", "Br"], "fractional_positions": [[0.500, 0.500, 0.500], [0.000, 0.000, 0.000], [0.250, 0.250, 0.250], [0.750, 0.750, 0.750]], "formation_energy_uncorrected_mev_per_atom": -911, "dos_at_fermi_per_ev_atom": 3.381, "dft_energy_ev_per_fu": -23.41, "magnetic_moment_mub_per_fu": 7.0}


No. 14
{"formula": "Tl2BW", "functional": "GGA-PBE", "state": "relaxed", "cell": [[0.000, 3.438, 3.438], [3.438, 0.000, 3.438], [3.438, 3.438, 0.000]], "species": ["B", "Tl", "Tl", "W"], "fractional_positions": [[0.000, 0.000, 0.000], [0.250, 0.250, 0.250], [0.750, 0.750, 0.750], [0.500, 0.500, 0.500]], "formation_energy_ev_per_fu": 7.71, "dos_at_fermi_per_ev_atom": 0.682, "dft_energy_ev_per_fu": -16.65, "de_polymorph_ev_per_atom": 0.644, "magnetic_moment_mub_per_fu": 2.4}